Entry 1:
{"formula": "RbCoMo2", "functional": "GGA-PBE", "state": "optimized geometry", "dos_ef_per_ev_cell": 6.20, "e_form_ev_per_atom": 1.89, "lattice": [[-1.952, -4.081, 0.253], [0.457, -2.501, 3.750], [-3.551, -0.647, 2.739]], "species": ["Mo", "Mo", "Rb", "Co"], "fractional_positions": [[0.750, 0.750, 0.750], [0.250, 0.250, 0.250], [0.500, 0.500, 0.500], [0.000, 0.000, 0.000]]}

---

Entry 2:
{"formula": "RbCo3Mo", "functional": "GGA-PBE", "state": "optimized geometry", "dos_ef_per_ev_cell": 5.71, "e_form_ev_per_atom": 1.41, "lattice": [[4.652, 0.000, 0.000], [0.000, 4.652, 0.000], [0.000, 0.000, 4.652]], "species": ["Rb", "Co", "Co", "Co", "Mo"], "fractional_positions": [[0.500, 0.500, 0.500], [0.000, 0.000, 0.500], [0.000, 0.500, 0.000], [0.500, 0.000, 0.000], [0.000, 0.000, 0.000]]}

---

Entry 3:
{"formula": "Rb3CoMo", "functional": "GGA-PBE", "state": "optimized geometry", "dos_ef_per_ev_cell": 7.37, "e_form_ev_per_atom": 1.62, "lattice": [[6.520, 0.000, 0.000], [0.000, 6.520, 0.000], [0.000, 0.000, 6.520]], "species": ["Rb", "Rb", "Rb", "Co", "Mo"], "fractional_positions": [[0.000, 0.500, 0.000], [0.000, 0.000, 0.500], [0.500, 0.000, 0.000], [0.000, 0.000, 0.000], [0.500, 0.500, 0.500]]}

---

Entry 4:
{"formula": "RbCoMo3", "functional": "GGA-PBE", "state": "optimized geometry", "dos_ef_per_ev_cell": 10.04, "e_form_ev_per_atom": 3.55, "lattice": [[-4.547, -0.682, 0.245], [0.466, -3.943, -2.332], [0.555, -2.278, 3.963]], "species": ["Rb", "Mo", "Mo", "Mo", "Co"], "fractional_positions": [[0.000, 0.000, 0.000], [0.000, 0.500, 0.000], [0.500, 0.000, 0.000], [0.000, 0.000, 0.500], [0.500, 0.500, 0.500]]}

---

Entry 5:
{"formula": "RbCoMo3", "functional": "GGA-PBE", "state": "optimized geometry", "dos_ef_per_ev_cell": 5.46, "e_form_ev_per_atom": 1.77, "lattice": [[-0.859, 2.869, -3.644], [-2.869, -3.240, -1.874], [-3.643, 1.875, 2.336]], "species": ["Co", "Mo", "Mo", "Mo", "Rb"], "fractional_positions": [[0.000, 0.000, 0.000], [0.000, 0.000, 0.500], [0.500, 0.000, 0.000], [0.000, 0.500, 0.000], [0.500, 0.500, 0.500]]}

---

Entry 6:
{"formula": "RbCoMo2", "functional": "GGA-PBE", "state": "optimized geometry", "dos_ef_per_ev_cell": 12.14, "e_form_ev_per_atom": 1.74, "lattice": [[-2.542, 2.304, -3.697], [-0.632, -4.430, -2.326], [-8.569, -2.211, 1.072]], "species": ["Co", "Co", "Rb", "Rb", "Mo", "Mo", "Mo", "Mo"], "fractional_positions": [[0.500, 0.500, 0.000], [0.250, 0.750, 0.500], [0.000, 0.000, 0.000], [0.750, 0.250, 0.500], [0.375, 0.625, 0.750], [0.375, 0.125, 0.250], [0.375, 0.625, 0.250], [0.875, 0.625, 0.750]]}

---

Entry 7:
{"formula": "RbCo3Mo", "functional": "GGA-PBE", "state": "optimized geometry", "dos_ef_per_ev_cell": 7.29, "e_form_ev_per_atom": 2.83, "lattice": [[4.450, 0.000, 0.000], [0.000, 4.450, 0.000], [0.000, 0.000, 4.450]], "species": ["Co", "Co", "Co", "Rb", "Mo"], "fractional_positions": [[0.000, 0.000, 0.500], [0.500, 0.000, 0.000], [0.000, 0.500, 0.000], [0.000, 0.000, 0.000], [0.500, 0.500, 0.500]]}

---

Entry 8:
{"formula": "RbTaCo2Mo", "functional": "GGA-PBE", "state": "optimized geometry", "dos_ef_per_ev_cell": 5.09, "e_form_ev_per_atom": 1.55, "lattice": [[-4.241, -1.870, -1.304], [2.234, -2.905, -3.098], [0.418, -3.345, 3.438]], "species": ["Rb", "Mo", "Ta", "Co", "Co"], "fractional_positions": [[0.500, 0.500, 0.500], [0.000, 0.000, 0.000], [0.000, 0.500, 0.000], [0.000, 0.000, 0.500], [0.500, 0.000, 0.000]]}

---

Entry 9:
{"formula": "CoRe2Mo2", "functional": "GGA-PBE", "state": "optimized geometry", "dos_ef_per_ev_cell": 8.14, "e_form_ev_per_atom": 0.95, "lattice": [[4.185, 0.000, 0.000], [0.000, 4.185, 0.000], [2.093, 2.093, 5.273]], "species": ["Re", "Re", "Mo", "Mo", "Co"], "fractional_positions": [[0.382, 0.382, 0.236], [0.618, 0.618, 0.764], [0.250, 0.750, 0.500], [0.750, 0.250, 0.500], [0.000, 0.000, 0.000]]}

---

Entry 10:
{"formula": "CoReMo2", "functional": "GGA-PBE", "state": "optimized geometry", "dos_ef_per_ev_cell": 6.94, "e_form_ev_per_atom": 0.16, "lattice": [[-0.654, -1.472, -2.146], [-0.862, -1.965, 1.611], [-7.290, 3.213, 0.017]], "species": ["Co", "Mo", "Mo", "Re"], "fractional_positions": [[0.500, 0.500, 0.750], [0.000, 0.000, 0.523], [0.000, 0.000, 0.977], [0.500, 0.500, 0.250]]}

---

Entry 11:
{"formula": "CoReMo2", "functional": "GGA-PBE", "state": "optimized geometry", "dos_ef_per_ev_cell": 5.15, "e_form_ev_per_atom": 0.28, "lattice": [[9.215, 0.002, 0.001], [8.812, 2.695, 0.001], [8.812, 1.319, 2.351]], "species": ["Co", "Mo", "Mo", "Re"], "fractional_positions": [[0.751, 0.751, 0.751], [0.007, 0.007, 0.007], [0.248, 0.248, 0.248], [0.494, 0.494, 0.494]]}

---

Entry 12:
{"formula": "CoReMo2", "functional": "GGA-PBE", "state": "optimized geometry", "dos_ef_per_ev_cell": 4.79, "e_form_ev_per_atom": 0.16, "lattice": [[-2.551, -3.265, 1.219], [1.065, 0.076, 2.431], [-3.161, 3.361, 2.386]], "species": ["Co", "Re", "Mo", "Mo"], "fractional_positions": [[0.500, 0.750, 0.750], [0.500, 0.250, 0.250], [0.000, 0.014, 0.995], [0.000, 0.486, 0.505]]}